P) 4
Lattice="0.0000 3.7535 3.7535 3.7535 0.0000 3.7535 3.7535 3.7535 0.0000" Properties=species:S:1:pos:R:3 comment="Ce2SmAu GGA-PBE relaxed" dos_at_fermi_per_ev_atom=3.07 pbc="T T T"
Ce 1.8768 1.8768 1.8768
Ce 5.6303 5.6303 5.6303
Sm 0.0000 0.0000 0.0000
Au 3.7535 3.7535 3.7535

Q) 4
Lattice="3.7457 0.0000 0.0000 0.0000 3.7457 0.0000 0.0000 0.0000 8.2211" Properties=species:S:1:pos:R:3 comment="Ce2SmAu GGA-PBE relaxed" dos_at_fermi_per_ev_atom=3.07 pbc="T T T"
Ce 0.0000 0.0000 1.7006
Ce 0.0000 0.0000 6.5205
Sm 1.8729 1.8729 4.1106
Au 1.8729 1.8729 0.0000

Most stable pick: Q). Distance to second place: 13.8 kJ/mol of atoms.